No. 1
Computed, not measured: a relaxed Mg2In2Ag7Hg crystal at the PBE level of DFT. Values from VASP.

**Crystal system**: monoclinic
**DOS(E_F)**: 0.323 states/eV/atom
**Total moment**: 0.00 μB/f.u.
**Uncorrected energy**: -28.3 eV/cell
**Energy relative to the elements**: 0.0525 eV per atom

```
&SYSTEM
  ibrav = 0, nat = 12, ntyp = 4
/
ATOMIC_SPECIES
Hg 200.59 Hg.upf
Ag 107.87 Ag.upf
In 114.82 In.upf
Mg 24.30 Mg.upf
ATOMIC_POSITIONS crystal
Hg 0.0000 0.0000 0.0000
Ag 0.2676 0.2676 0.4543
Ag 0.7324 0.7324 0.5457
Ag 0.4201 0.9199 0.1449
Ag 0.5000 0.5000 0.0000
Ag 0.9199 0.4201 0.1449
Ag 0.0801 0.5799 0.8551
Ag 0.5799 0.0801 0.8551
In 0.1966 0.1966 0.6294
In 0.8034 0.8034 0.3706
Mg 0.6486 0.6486 0.7276
Mg 0.3514 0.3514 0.2724
CELL_PARAMETERS angstrom
3.9155 -0.0001 0.0430
0.0047 3.9155 0.0430
1.9319 1.9295 16.5933
```

No. 2
Computed, not measured: a relaxed ZrTiGa crystal at the PBE level of DFT. Values from VASP.

**Crystal system**: monoclinic
**DOS(E_F)**: 0.840 states/eV/atom
**Total moment**: 0.00 μB/f.u.
**Uncorrected energy**: -81.8 eV/cell
**Energy relative to the elements**: -0.3290 eV per atom

```
&SYSTEM
  ibrav = 0, nat = 12, ntyp = 3
/
ATOMIC_SPECIES
Zr 91.22 Zr.upf
Ti 47.87 Ti.upf
Ga 69.72 Ga.upf
ATOMIC_POSITIONS crystal
Zr 0.6860 0.8286 0.5785
Zr 0.3141 0.6714 0.9213
Zr 0.3140 0.1714 0.4215
Zr 0.6859 0.3286 0.0787
Ti 0.3301 0.6674 0.4172
Ti 0.6699 0.3326 0.5828
Ti 0.3302 0.1674 0.9172
Ti 0.6698 0.8326 0.0828
Ga 0.0037 0.9991 0.2489
Ga 0.9966 0.5008 0.2509
Ga 0.0034 0.4992 0.7491
Ga 0.9963 0.0009 0.7511
CELL_PARAMETERS angstrom
-3.2246 -0.6465 -4.1031
-6.2150 -3.8482 1.9907
-3.4288 5.2435 -0.5393
```

No. 3
Computed, not measured: a relaxed DyHo2Al2Zn2 crystal at the PBE level of DFT. Values from VASP.

**Crystal system**: trigonal
**DOS(E_F)**: 0.486 states/eV/atom
**Total moment**: 0.00 μB/f.u.
**Uncorrected energy**: -26.0 eV/cell
**Energy relative to the elements**: -0.3092 eV per atom

```
&SYSTEM
  ibrav = 0, nat = 7, ntyp = 4
/
ATOMIC_SPECIES
Ho 164.93 Ho.upf
Zn 65.41 Zn.upf
Al 26.98 Al.upf
Dy 162.50 Dy.upf
ATOMIC_POSITIONS crystal
Ho 0.8725 0.8725 0.3826
Ho 0.1275 0.1275 0.6174
Zn 0.3985 0.3985 0.8045
Zn 0.6015 0.6015 0.1955
Al 0.7366 0.7366 0.7901
Al 0.2634 0.2634 0.2099
Dy 0.0000 0.0000 0.0000
CELL_PARAMETERS angstrom
4.4990 0.0000 0.0000
2.2495 3.8962 0.0000
2.2495 1.2987 9.0019
```